--- i ---
ZnB4Au: optimized geometry, PBE.

Cell and atoms, written as POSCAR:
```
ZnB4Au
1.0
2.9216 -1.3655 3.5832
2.4506 4.0602 0.8650
-4.3968 -1.9648 0.2161
Au B Zn
1 4 1
direct
0.5000 0.5000 0.0000 Au
0.5921 0.2608 0.3313 B
0.0705 0.7392 0.3313 B
0.9295 0.2608 0.6687 B
0.4079 0.7392 0.6687 B
0.0000 0.0000 0.0000 Zn
```

Space group ... Immm, No. 71

--- ii ---
ZnB4Au: optimized geometry, PBE.

Cell and atoms, written as POSCAR:
```
ZnB4Au
1.0
3.0522 0.0000 0.0000
-1.5261 2.6433 0.0000
0.0000 0.0000 7.4106
Au B Zn
1 4 1
direct
0.0000 0.0000 0.0000 Au
0.6667 0.3333 0.2734 B
0.3333 0.6667 0.2734 B
0.6667 0.3333 0.7266 B
0.3333 0.6667 0.7266 B
0.0000 0.0000 0.5000 Zn
```

Space group ... P6/mmm, No. 191

It turns out ii is the most stable, with the second structure 18 meV per atom higher.

--- i ---
BaBeTlAu: optimized geometry, PBE.

Cell and atoms, written as POSCAR:
```
BaBeTlAu
1.0
0.0000 3.7476 3.7476
3.7476 0.0000 3.7476
3.7476 3.7476 0.0000
Au Ba Be Tl
1 1 1 1
direct
0.7500 0.7500 0.7500 Au
0.0000 0.0000 0.0000 Ba
0.2500 0.2500 0.2500 Be
0.5000 0.5000 0.5000 Tl
```

Space group ... F-43m, No. 216

--- ii ---
BaBeTlAu: optimized geometry, PBE.

Cell and atoms, written as POSCAR:
```
BaBeTlAu
1.0
-3.3139 -0.8002 4.0622
-4.9027 -1.8128 -0.8951
-1.3023 -4.9390 1.4263
Au Ba Be Tl
1 1 1 1
direct
0.7500 0.7500 0.7500 Au
0.5000 0.5000 0.5000 Ba
0.0000 0.0000 0.0000 Be
0.2500 0.2500 0.2500 Tl
```

Space group ... F-43m, No. 216

It turns out i is the most stable, with the second structure 73 meV per atom higher.

--- i ---
BaYBeAu: optimized geometry, PBE.

Cell and atoms, written as POSCAR:
```
BaYBeAu
1.0
0.1610 2.3047 4.7888
-3.3658 -1.5525 3.8120
1.8079 -2.7162 4.1981
Au Ba Be Y
1 1 1 1
direct
0.7500 0.7500 0.7500 Au
0.5000 0.5000 0.5000 Ba
0.2500 0.2500 0.2500 Be
0.0000 0.0000 0.0000 Y
```

Space group ... F-43m, No. 216

--- ii ---
BaYBeAu: optimized geometry, PBE.

Cell and atoms, written as POSCAR:
```
BaYBeAu
1.0
-4.8391 -1.1879 -0.9280
-3.6007 1.2432 3.3434
-3.3375 3.6496 -1.1096
Au Ba Be Y
1 1 1 1
direct
0.7500 0.7500 0.7500 Au
0.2500 0.2500 0.2500 Ba
0.5000 0.5000 0.5000 Be
0.0000 0.0000 0.0000 Y
```

Space group ... F-43m, No. 216

--- iii ---
BaYBeAu: optimized geometry, PBE.

Cell and atoms, written as POSCAR:
```
BaYBeAu
1.0
1.7209 -1.9744 4.3945
2.3534 3.0051 3.4063
-2.3151 1.1692 4.4096
Au Ba Be Y
1 1 1 1
direct
0.7500 0.7500 0.7500 Au
0.0000 0.0000 0.0000 Ba
0.5000 0.5000 0.5000 Be
0.2500 0.2500 0.2500 Y
```

Space group ... F-43m, No. 216

It turns out i is the most stable, with the second structure 140 meV per atom higher.

--- i ---
BaBiPdAu: optimized geometry, PBE.

Cell and atoms, written as POSCAR:
```
BaBiPdAu
1.0
0.0000 3.7532 3.7532
3.7532 0.0000 3.7532
3.7532 3.7532 0.0000
Au Ba Bi Pd
1 1 1 1
direct
0.7500 0.7500 0.7500 Au
0.0000 0.0000 0.0000 Ba
0.2500 0.2500 0.2500 Bi
0.5000 0.5000 0.5000 Pd
```

Space group ... F-43m, No. 216

--- ii ---
BaBiPdAu: optimized geometry, PBE.

Cell and atoms, written as POSCAR:
```
BaBiPdAu
1.0
2.3481 1.7837 4.4153
-1.3847 -1.9791 4.7282
3.3704 -3.1223 2.6612
Au Ba Bi Pd
1 1 1 1
direct
0.7500 0.7500 0.7500 Au
0.2500 0.2500 0.2500 Ba
0.0000 0.0000 0.0000 Bi
0.5000 0.5000 0.5000 Pd
```

Space group ... F-43m, No. 216

--- iii ---
BaBiPdAu: optimized geometry, PBE.

Cell and atoms, written as POSCAR:
```
BaBiPdAu
1.0
-1.3953 -4.1608 2.9819
-1.2923 0.7038 5.0976
-5.0377 -0.5732 1.5632
Au Ba Bi Pd
1 1 1 1
direct
0.7500 0.7500 0.7500 Au
0.5000 0.5000 0.5000 Ba
0.0000 0.0000 0.0000 Bi
0.2500 0.2500 0.2500 Pd
```

Space group ... F-43m, No. 216

It turns out iii is the most stable, with the second structure 164 meV per atom higher.

--- i ---
BaBi2PdAu: optimized geometry, PBE.

Cell and atoms, written as POSCAR:
```
BaBi2PdAu
1.0
5.0268 0.0000 0.0000
0.0000 4.9067 0.0000
-0.2822 0.0000 11.5938
Au Ba Bi Pd
2 2 4 2
direct
0.2470 0.2500 0.3528 Au
0.7530 0.7500 0.6472 Au
0.7282 0.7500 0.2368 Ba
0.2718 0.2500 0.7632 Ba
0.1986 0.2500 0.1072 Bi
0.7536 0.2500 0.4991 Bi
0.2464 0.7500 0.5009 Bi
0.8014 0.7500 0.8928 Bi
0.3179 0.7500 0.0022 Pd
0.6821 0.2500 0.9978 Pd
```

Space group ... P2_1/m, No. 11

--- ii ---
BaBi2PdAu: optimized geometry, PBE.

Cell and atoms, written as POSCAR:
```
BaBi2PdAu
1.0
-3.9665 2.2100 2.2749
-2.8860 -1.2013 -3.8649
-2.3600 -9.8862 4.8352
Au Ba Bi Pd
2 2 4 2
direct
0.6935 0.2500 0.0004 Au
0.3065 0.7500 0.9996 Au
0.7343 0.7500 0.2447 Ba
0.2657 0.2500 0.7553 Ba
0.2001 0.2500 0.1335 Bi
0.7507 0.2500 0.4988 Bi
0.2493 0.7500 0.5012 Bi
0.7999 0.7500 0.8665 Bi
0.2450 0.2500 0.3798 Pd
0.7550 0.7500 0.6202 Pd
```

Space group ... P2_1/m, No. 11

It turns out ii is the most stable, with the second structure 5 meV per atom higher.

--- i ---
BaBiSbAu2: optimized geometry, PBE.

Cell and atoms, written as POSCAR:
```
BaBiSbAu2
1.0
-2.2448 4.3997 -1.4821
-3.7771 -2.5623 -1.8856
-5.1877 0.2594 10.0391
Au Ba Bi Sb
4 2 2 2
direct
0.7510 0.7500 0.1211 Au
0.6704 0.2500 0.4993 Au
0.3296 0.7500 0.5007 Au
0.2490 0.2500 0.8789 Au
0.2763 0.2500 0.2462 Ba
0.7237 0.7500 0.7538 Ba
0.8207 0.7500 0.3755 Bi
0.1793 0.2500 0.6245 Bi
0.2462 0.7500 0.0029 Sb
0.7538 0.2500 0.9971 Sb
```

Space group ... P2_1/m, No. 11

--- ii ---
BaBiSbAu2: optimized geometry, PBE.

Cell and atoms, written as POSCAR:
```
BaBiSbAu2
1.0
5.0173 0.0000 0.0000
0.0000 4.8654 0.0000
-0.2429 0.0000 11.7174
Au Ba Bi Sb
4 2 2 2
direct
0.8112 0.7500 0.0001 Au
0.7485 0.2500 0.3489 Au
0.2515 0.7500 0.6511 Au
0.1888 0.2500 0.9999 Au
0.2313 0.7500 0.2356 Ba
0.7687 0.2500 0.7644 Ba
0.2518 0.2500 0.4995 Bi
0.7482 0.7500 0.5005 Bi
0.6917 0.2500 0.1181 Sb
0.3083 0.7500 0.8819 Sb
```

Space group ... P2_1/m, No. 11

It turns out ii is the most stable, with the second structure 45 meV per atom higher.

--- i ---
BaLuCdAu: optimized geometry, PBE.

Cell and atoms, written as POSCAR:
```
BaLuCdAu
1.0
1.3007 -1.4830 4.8763
-2.9250 -3.5629 2.5338
1.8991 -4.8291 0.8620
Au Ba Cd Lu
1 1 1 1
direct
0.7500 0.7500 0.7500 Au
0.2500 0.2500 0.2500 Ba
0.0000 0.0000 0.0000 Cd
0.5000 0.5000 0.5000 Lu
```

Space group ... F-43m, No. 216

--- ii ---
BaLuCdAu: optimized geometry, PBE.

Cell and atoms, written as POSCAR:
```
BaLuCdAu
1.0
2.4991 -4.6046 1.5210
-2.8719 -4.6037 0.5651
0.6362 -4.0684 -3.5784
Au Ba Cd Lu
1 1 1 1
direct
0.7500 0.7500 0.7500 Au
0.0000 0.0000 0.0000 Ba
0.2500 0.2500 0.2500 Cd
0.5000 0.5000 0.5000 Lu
```

Space group ... F-43m, No. 216

--- iii ---
BaLuCdAu: optimized geometry, PBE.

Cell and atoms, written as POSCAR:
```
BaLuCdAu
1.0
1.4545 1.7295 4.7911
-3.3930 -0.2771 4.0586
0.8394 -3.4598 3.9225
Au Ba Cd Lu
1 1 1 1
direct
0.7500 0.7500 0.7500 Au
0.5000 0.5000 0.5000 Ba
0.0000 0.0000 0.0000 Cd
0.2500 0.2500 0.2500 Lu
```

Space group ... F-43m, No. 216

It turns out ii is the most stable, with the second structure 164 meV per atom higher.

--- i ---
BaTlCdAu: optimized geometry, PBE.

Cell and atoms, written as POSCAR:
```
BaTlCdAu
1.0
0.0000 3.8232 3.8232
3.8232 0.0000 3.8232
3.8232 3.8232 0.0000
Au Ba Cd Tl
1 1 1 1
direct
0.7500 0.7500 0.7500 Au
0.2500 0.2500 0.2500 Ba
0.0000 0.0000 0.0000 Cd
0.5000 0.5000 0.5000 Tl
```

Space group ... F-43m, No. 216

--- ii ---
BaTlCdAu: optimized geometry, PBE.

Cell and atoms, written as POSCAR:
```
BaTlCdAu
1.0
0.0000 3.8856 3.8856
3.8856 0.0000 3.8856
3.8856 3.8856 0.0000
Au Ba Cd Tl
1 1 1 1
direct
0.7500 0.7500 0.7500 Au
0.0000 0.0000 0.0000 Ba
0.2500 0.2500 0.2500 Cd
0.5000 0.5000 0.5000 Tl
```

Space group ... F-43m, No. 216

--- iii ---
BaTlCdAu: optimized geometry, PBE.

Cell and atoms, written as POSCAR:
```
BaTlCdAu
1.0
0.0000 3.8613 3.8613
3.8613 0.0000 3.8613
3.8613 3.8613 0.0000
Au Ba Cd Tl
1 1 1 1
direct
0.7500 0.7500 0.7500 Au
0.5000 0.5000 0.5000 Ba
0.0000 0.0000 0.0000 Cd
0.2500 0.2500 0.2500 Tl
```

Space group ... F-43m, No. 216

It turns out ii is the most stable, with the second structure 19 meV per atom higher.